No. 1
Density functional theory data (PBE) for a relaxed structure of VBiBrN2.

ΔE_f (raw), meV per atom: 1921
E_tot, eV per atom: -4.344

abc: 4.305 4.305 5.752
angles: 90.00 90.00 90.00
Space group P4/mmm (No. 123)
Unique sites:
V 0.000 0.000 0.000 (multiplicity 1)
Bi 0.500 0.500 0.500 (multiplicity 1)
Br 0.500 0.500 0.000 (multiplicity 1)
N 0.000 0.500 0.500 (multiplicity 2)

No. 2
Density functional theory data (PBE) for a relaxed structure of NaBiBr6.

ΔE_f (raw), meV per atom: -595
E_tot, eV per atom: -2.499

abc: 6.530 7.001 7.769
angles: 94.95 107.95 97.04
Space group P-1 (No. 2)
Unique sites:
Na 0.000 0.000 0.000 (multiplicity 1)
Bi 0.500 0.000 0.500 (multiplicity 1)
Br 0.132 0.709 0.272 (multiplicity 2)
Br 0.228 0.173 0.646 (multiplicity 2)
Br 0.408 0.232 0.217 (multiplicity 2)

No. 3
Density functional theory data (PBE) for a relaxed structure of NaBi2Br.

ΔE_f (raw), meV per atom: 63
E_tot, eV per atom: -2.626

abc: 7.799 7.799 7.799
angles: 90.00 90.00 90.00
Space group Fm-3m (No. 225)
Unique sites:
Na 0.000 0.000 0.000 (multiplicity 4)
Bi 0.250 0.250 0.250 (multiplicity 8)
Br 0.000 0.000 0.500 (multiplicity 4)

What did the second record say?
Density functional theory data (PBE) for a relaxed structure of NaBiBr6.

ΔE_f (raw), meV per atom: -595
E_tot, eV per atom: -2.499

abc: 6.530 7.001 7.769
angles: 94.95 107.95 97.04
Space group P-1 (No. 2)
Unique sites:
Na 0.000 0.000 0.000 (multiplicity 1)
Bi 0.500 0.000 0.500 (multiplicity 1)
Br 0.132 0.709 0.272 (multiplicity 2)
Br 0.228 0.173 0.646 (multiplicity 2)
Br 0.408 0.232 0.217 (multiplicity 2)

Question: What is the ΔE_f (raw) in the first record?
Answer: 1921 meV per atom

Question: Among the records above, which one has the lowest ΔE_f (raw)?
Answer: NaBiBr6